Entry 1:
# PuUO4

PuUO4 after structural relaxation (GGA-PBE, Alexandria).

Results
Crystal system   tetragonal
Raw formation energy   -3280 meV per atom
N(E_F)   1.392 states/eV per atom

Geometry as POSCAR:
```
PuUO4
1.0
5.413 0.000 0.000
0.000 5.413 0.000
-2.707 -2.707 5.392
O Pu U
8 2 2
Direct
0.135 0.125 0.750 O
0.875 0.865 0.250 O
0.375 0.385 0.250 O
0.615 0.625 0.750 O
0.135 0.625 0.750 O
0.875 0.385 0.250 O
0.375 0.865 0.250 O
0.615 0.125 0.750 O
0.750 0.250 0.500 Pu
0.000 0.000 0.000 Pu
0.500 0.500 0.000 U
0.250 0.750 0.500 U
```



Entry 2:
# Ti2ZnFe

Ti2ZnFe after structural relaxation (GGA-PBE, Alexandria).

Results
Final energy   -6.653 eV/atom
Crystal system   tetragonal
N(E_F)   0.717 states/eV per atom

Geometry as POSCAR:
```
Ti2ZnFe
1.0
3.010 0.000 0.000
0.000 3.010 0.000
0.000 0.000 6.302
Ti Fe Zn
2 1 1
Direct
0.000 0.000 0.771 Ti
0.000 0.000 0.229 Ti
0.500 0.500 0.000 Fe
0.500 0.500 0.500 Zn
```



Entry 3:
# Ca3Zn2Bi3

Ca3Zn2Bi3 after structural relaxation (GGA-PBE, Alexandria).

Results
Final energy   -2.995 eV/atom
Crystal system   triclinic
N(E_F)   0.220 states/eV per atom

Geometry as POSCAR:
```
Ca3Zn2Bi3
1.0
-3.428 -0.690 2.542
0.744 -5.146 -0.392
4.545 -2.690 9.186
Bi Zn Ca
3 2 3
Direct
0.500 0.500 0.000 Bi
0.657 0.160 0.681 Bi
0.343 0.840 0.319 Bi
0.744 0.744 0.511 Zn
0.256 0.256 0.489 Zn
0.133 0.635 0.730 Ca
0.867 0.365 0.270 Ca
0.000 0.000 0.000 Ca
```



Entry 4:
# Sr2As2I

Sr2As2I after structural relaxation (GGA-PBE, Alexandria).

Results
Crystal system   tetragonal
Raw formation energy   -979 meV per atom
N(E_F)   0.544 states/eV per atom
Excess energy over the best structure of this formula in the dataset   5.5 kJ per mole of atoms

Geometry as POSCAR:
```
Sr2As2I
1.0
-3.135 4.501 2.124
-4.971 -2.957 -1.071
-3.848 -1.178 4.961
As Sr I
2 2 1
Direct
0.623 0.623 0.754 As
0.377 0.377 0.246 As
0.250 0.750 0.500 Sr
0.750 0.250 0.500 Sr
0.000 0.000 0.000 I
```



Entry 5:
# BaHfAlS4

BaHfAlS4 after structural relaxation (GGA-PBE, Alexandria).

Results
Crystal system   cubic
Raw formation energy   -952 meV per atom
N(E_F)   0.802 states/eV per atom

Geometry as POSCAR:
```
BaHfAlS4
1.0
-0.161 0.865 7.381
4.423 -4.124 4.323
5.756 3.142 3.500
Hf S Ba Al
1 4 1 1
Direct
0.500 0.500 0.500 Hf
0.371 0.371 0.371 S
0.371 0.371 0.886 S
0.371 0.886 0.371 S
0.886 0.371 0.371 S
0.750 0.750 0.750 Ba
0.250 0.250 0.250 Al
```



Entry 6:
# CaNiMo2

CaNiMo2 after structural relaxation (GGA-PBE, Alexandria).

Results
Crystal system   tetragonal
N(E_F)   0.793 states/eV per atom
Excess energy over the best structure of this formula in the dataset   24.8 kJ per mole of atoms

Geometry as POSCAR:
```
CaNiMo2
1.0
-3.395 2.440 3.589
-2.891 -2.870 3.711
5.150 0.446 -1.908
Ni Mo Ca
1 2 1
Direct
0.250 0.750 0.500 Ni
0.500 0.500 0.000 Mo
0.000 0.000 0.000 Mo
0.750 0.250 0.500 Ca
```



Entry 7:
# Ag3SI

Ag3SI after structural relaxation (GGA-PBE, Alexandria).

Results
Crystal system   cubic
Raw formation energy   750 meV per atom
N(E_F)   0.203 states/eV per atom

Geometry as POSCAR:
```
Ag3SI
1.0
-4.112 3.376 -0.311
-0.587 -1.190 -5.162
-3.340 -3.948 1.290
Ag I S
3 1 1
Direct
0.500 0.000 0.000 Ag
0.000 0.000 0.500 Ag
0.000 0.500 0.000 Ag
0.000 0.000 0.000 I
0.500 0.500 0.500 S
```



Entry 8:
# RbY2Be2

RbY2Be2 after structural relaxation (GGA-PBE, Alexandria).

Results
Crystal system   tetragonal
N(E_F)   0.608 states/eV per atom
Excess energy over the best structure of this formula in the dataset   0.0 kJ per mole of atoms

Geometry as POSCAR:
```
RbY2Be2
1.0
-4.135 6.830 3.176
-3.517 -4.955 6.076
2.629 0.641 2.045
Be Y Rb
4 4 2
Direct
0.151 0.651 0.500 Be
0.349 0.151 0.500 Be
0.849 0.349 0.500 Be
0.651 0.849 0.500 Be
0.364 0.864 0.000 Y
0.636 0.136 0.000 Y
0.864 0.636 0.000 Y
0.136 0.364 0.000 Y
0.000 0.000 0.000 Rb
0.500 0.500 0.000 Rb
```



Entry 9:
# HgAsRh4

HgAsRh4 after structural relaxation (GGA-PBE, Alexandria).

Results
Final energy   -5.399 eV/atom
Crystal system   cubic
N(E_F)   1.298 states/eV per atom

Geometry as POSCAR:
```
HgAsRh4
1.0
-0.691 -2.371 4.593
-2.799 2.322 3.738
-4.694 -1.873 1.287
Rh Hg As
4 1 1
Direct
0.375 0.375 0.375 Rh
0.375 0.875 0.375 Rh
0.875 0.375 0.375 Rh
0.375 0.375 0.875 Rh
0.000 0.000 0.000 Hg
0.750 0.750 0.750 As
```



Entry 10:
# NaSbI2Br

NaSbI2Br after structural relaxation (GGA-PBE, Alexandria).

Results
Crystal system   tetragonal
Raw formation energy   241 meV per atom
N(E_F)   1.043 states/eV per atom
Excess energy over the best structure of this formula in the dataset   12.4 kJ per mole of atoms

Geometry as POSCAR:
```
NaSbI2Br
1.0
-2.140 -5.123 -0.167
2.988 -1.395 4.470
-5.030 1.971 3.978
I Br Na Sb
2 1 1 1
Direct
0.500 0.000 0.000 I
0.000 0.500 0.000 I
0.500 0.500 0.500 Br
0.000 0.000 0.000 Na
0.000 0.000 0.500 Sb
```



Entry 11:
# TcHg3Br9

TcHg3Br9 after structural relaxation (GGA-PBE, Alexandria).

Results
Crystal system   monoclinic
Raw formation energy   -338 meV per atom

Geometry as POSCAR:
```
TcHg3Br9
1.0
-5.956 -5.026 7.356
4.511 -3.460 9.095
-4.197 6.822 9.070
Br Tc Hg
18 2 6
Direct
0.961 0.987 0.543 Br
0.464 0.212 0.561 Br
0.549 0.842 0.779 Br
0.060 0.963 0.079 Br
0.746 0.145 0.879 Br
0.319 0.154 0.350 Br
0.186 0.066 0.710 Br
0.763 0.712 0.061 Br
0.178 0.654 0.850 Br
0.230 0.645 0.379 Br
0.037 0.566 0.210 Br
0.454 0.770 0.517 Br
0.830 0.342 0.279 Br
0.977 0.398 0.893 Br
0.259 0.270 0.017 Br
0.510 0.487 0.043 Br
0.899 0.463 0.579 Br
0.731 0.898 0.393 Br
0.449 0.987 0.548 Tc
0.016 0.487 0.048 Tc
0.735 0.619 0.863 Hg
0.259 0.402 0.376 Hg
0.784 0.119 0.363 Hg
0.939 0.214 0.580 Hg
0.267 0.714 0.080 Hg
0.962 0.902 0.876 Hg
```



Entry 12:
# DyZr2Al

DyZr2Al after structural relaxation (GGA-PBE, Alexandria).

Results
Crystal system   monoclinic
N(E_F)   1.232 states/eV per atom
Excess energy over the best structure of this formula in the dataset   1.8 kJ per mole of atoms

Geometry as POSCAR:
```
DyZr2Al
1.0
4.256 0.000 0.000
0.000 4.325 -0.852
0.000 -0.128 10.620
Dy Al Zr
2 2 4
Direct
0.250 0.309 0.615 Dy
0.750 0.691 0.385 Dy
0.750 0.846 0.687 Al
0.250 0.154 0.313 Al
0.250 0.945 0.889 Zr
0.750 0.443 0.884 Zr
0.750 0.055 0.111 Zr
0.250 0.557 0.116 Zr
```



Entry 13:
# GeSbI2O

GeSbI2O after structural relaxation (GGA-PBE, Alexandria).

Results
Crystal system   tetragonal
Raw formation energy   378 meV per atom
N(E_F)   0.379 states/eV per atom
Excess energy over the best structure of this formula in the dataset   44.6 kJ per mole of atoms

Geometry as POSCAR:
```
GeSbI2O
1.0
-3.386 3.810 -1.022
-3.564 -3.532 -1.360
-1.515 -0.166 4.403
I O Sb Ge
2 1 1 1
Direct
0.500 0.000 0.000 I
0.000 0.500 0.000 I
0.000 0.000 0.000 O
0.000 0.000 0.500 Sb
0.500 0.500 0.500 Ge
```



Entry 14:
# Cu6Se3S

Cu6Se3S after structural relaxation (GGA-PBE, Alexandria).

Results
Crystal system   orthorhombic
Raw formation energy   -93 meV per atom
N(E_F)   0.621 states/eV per atom

Geometry as POSCAR:
```
Cu6Se3S
1.0
-4.243 -3.803 1.361
2.996 -5.171 -5.110
3.904 -2.023 6.519
Cu S Se
12 2 6
Direct
0.254 0.643 0.674 Cu
0.609 0.209 0.791 Cu
0.109 0.791 0.209 Cu
0.708 0.590 0.128 Cu
0.208 0.128 0.590 Cu
0.754 0.357 0.326 Cu
0.514 0.008 0.992 Cu
0.754 0.674 0.643 Cu
0.014 0.992 0.008 Cu
0.254 0.326 0.357 Cu
0.208 0.410 0.872 Cu
0.708 0.872 0.410 Cu
0.485 0.827 0.173 S
0.985 0.173 0.827 S
0.008 0.602 0.398 Se
0.473 0.329 0.094 Se
0.973 0.671 0.906 Se
0.508 0.398 0.602 Se
0.973 0.094 0.329 Se
0.473 0.906 0.671 Se
```



Entry 15:
# ZrScO3

ZrScO3 after structural relaxation (GGA-PBE, Alexandria).

Results
Crystal system   trigonal
Raw formation energy   -3043 meV per atom
N(E_F)   0.434 states/eV per atom

Geometry as POSCAR:
```
ZrScO3
1.0
5.319 0.000 0.000
2.659 4.606 0.000
2.659 1.535 5.213
Zr O Sc
2 6 2
Direct
0.348 0.348 0.957 Zr
0.652 0.652 0.043 Zr
0.045 0.752 0.748 O
0.545 0.248 0.252 O
0.752 0.455 0.748 O
0.955 0.545 0.252 O
0.248 0.955 0.252 O
0.455 0.045 0.748 O
0.850 0.850 0.450 Sc
0.150 0.150 0.550 Sc
```



Entry 16:
# K6Br3Cl2O

K6Br3Cl2O after structural relaxation (GGA-PBE, Alexandria).

Results
Crystal system   monoclinic
Raw formation energy   -1609 meV per atom

Geometry as POSCAR:
```
K6Br3Cl2O
1.0
7.935 -0.002 0.001
-3.968 6.872 0.001
-1.323 -2.290 7.321
Br Cl K O
3 2 6 1
Direct
0.832 0.168 0.500 Br
0.168 0.832 0.500 Br
0.500 0.500 0.500 Br
0.667 0.333 0.000 Cl
0.333 0.667 0.000 Cl
0.243 0.243 0.775 K
0.605 0.924 0.773 K
0.924 0.605 0.773 K
0.395 0.076 0.227 K
0.757 0.757 0.225 K
0.076 0.395 0.227 K
0.000 0.000 0.000 O
```



Entry 17:
# ScCoSiRh

ScCoSiRh after structural relaxation (GGA-PBE, Alexandria).

Results
Crystal system   cubic
Raw formation energy   -737 meV per atom
N(E_F)   0.395 states/eV per atom

Geometry as POSCAR:
```
ScCoSiRh
1.0
4.269 0.000 0.000
2.134 3.697 0.000
2.134 1.232 3.485
Si Rh Co Sc
1 1 1 1
Direct
0.750 0.750 0.750 Si
0.000 0.000 0.000 Rh
0.500 0.500 0.500 Co
0.250 0.250 0.250 Sc
```



Entry 18:
# BaSrHf2

BaSrHf2 after structural relaxation (GGA-PBE, Alexandria).

Results
Crystal system   cubic
N(E_F)   1.908 states/eV per atom
Excess energy over the best structure of this formula in the dataset   0.0 kJ per mole of atoms

Geometry as POSCAR:
```
BaSrHf2
1.0
-0.869 -1.120 5.487
-3.377 3.354 3.076
-5.050 -1.893 1.740
Hf Ba Sr
2 1 1
Direct
0.250 0.250 0.250 Hf
0.750 0.750 0.750 Hf
0.500 0.500 0.500 Ba
0.000 0.000 0.000 Sr
```



Entry 19:
# NaCd

NaCd after structural relaxation (GGA-PBE, Alexandria).

Results
Final energy   -1.051 eV/atom
Crystal system   tetragonal
N(E_F)   0.550 states/eV per atom

Geometry as POSCAR:
```
NaCd
1.0
-2.473 4.713 3.161
-5.573 -2.668 -0.383
1.094 -3.063 5.422
Na Cd
4 4
Direct
0.684 0.684 0.500 Na
0.184 0.816 0.000 Na
0.816 0.184 0.000 Na
0.316 0.316 0.500 Na
0.826 0.174 0.500 Cd
0.674 0.674 0.000 Cd
0.174 0.826 0.500 Cd
0.326 0.326 0.000 Cd
```



Entry 20:
# AlMoRu4

AlMoRu4 after structural relaxation (GGA-PBE, Alexandria).

Results
Final energy   -8.383 eV/atom
Crystal system   cubic
N(E_F)   1.166 states/eV per atom

Geometry as POSCAR:
```
AlMoRu4
1.0
0.000 3.572 3.572
3.572 0.000 3.572
3.572 3.572 0.000
Mo Ru Al
1 4 1
Direct
0.000 0.000 0.000 Mo
0.873 0.376 0.376 Ru
0.376 0.376 0.376 Ru
0.376 0.873 0.376 Ru
0.376 0.376 0.873 Ru
0.750 0.750 0.750 Al
```



Entry 21:
# ZrCrAu

ZrCrAu after structural relaxation (GGA-PBE, Alexandria).

Results
Crystal system   tetragonal
N(E_F)   0.616 states/eV per atom
Excess energy over the best structure of this formula in the dataset   0.0 kJ per mole of atoms

Geometry as POSCAR:
```
ZrCrAu
1.0
5.227 -0.544 0.493
4.428 2.772 0.752
0.799 -0.068 3.325
Cr Au Zr
1 1 1
Direct
0.333 0.333 0.667 Cr
0.995 0.995 0.005 Au
0.672 0.672 0.328 Zr
```



Entry 22:
# V3SBr

V3SBr after structural relaxation (GGA-PBE, Alexandria).

Results
Crystal system   cubic
Raw formation energy   432 meV per atom
N(E_F)   1.292 states/eV per atom
Excess energy over the best structure of this formula in the dataset   0.0 kJ per mole of atoms

Geometry as POSCAR:
```
V3SBr
1.0
4.387 0.000 0.000
0.000 4.387 0.000
0.000 0.000 4.387
V Br S
3 1 1
Direct
0.000 0.500 0.000 V
0.000 0.000 0.500 V
0.500 0.000 0.000 V
0.500 0.500 0.500 Br
0.000 0.000 0.000 S
```



Entry 23:
# Al5O8

Al5O8 after structural relaxation (GGA-PBE, Alexandria).

Results
Crystal system   monoclinic
Raw formation energy   -2709 meV per atom
N(E_F)   0.281 states/eV per atom
Excess energy over the best structure of this formula in the dataset   9.2 kJ per mole of atoms

Geometry as POSCAR:
```
Al5O8
1.0
-2.225 2.302 4.665
-2.477 0.901 -5.006
-0.178 -5.258 0.691
O Al
8 5
Direct
0.820 0.981 0.260 O
0.278 0.439 0.260 O
0.811 0.475 0.286 O
0.307 0.003 0.310 O
0.722 0.561 0.740 O
0.180 0.019 0.740 O
0.693 0.997 0.690 O
0.189 0.525 0.714 O
0.300 0.289 0.589 Al
0.248 0.748 0.500 Al
0.700 0.711 0.411 Al
0.000 0.000 0.000 Al
0.752 0.252 0.500 Al
```



Entry 24:
# La2PrTm2

La2PrTm2 after structural relaxation (GGA-PBE, Alexandria).

Results
Crystal system   tetragonal
N(E_F)   1.065 states/eV per atom
Excess energy over the best structure of this formula in the dataset   4.7 kJ per mole of atoms

Geometry as POSCAR:
```
La2PrTm2
1.0
3.895 0.000 0.000
0.000 9.430 0.000
0.000 0.000 9.430
Pr La Tm
2 4 4
Direct
0.000 0.000 0.000 Pr
0.000 0.500 0.500 Pr
0.000 0.627 0.127 La
0.000 0.373 0.873 La
0.000 0.127 0.373 La
0.000 0.873 0.627 La
0.500 0.671 0.829 Tm
0.500 0.329 0.171 Tm
0.500 0.829 0.329 Tm
0.500 0.171 0.671 Tm
```